[1]
# KCdMo, PBEsol geometry, DFT meta-GGA SCAN
# Size of the total moment ... 5.21 μB/f.u.
data_KCdMo
_chemical_formula_sum 'K4 Cd4 Mo4'
_cell_length_a 7.496
_cell_length_b 7.496
_cell_length_c 7.496
_cell_angle_alpha 90.00
_cell_angle_beta 90.00
_cell_angle_gamma 90.00
_space_group_name_H-M_alt 'F -4 3 m'
_space_group_IT_number 216
_space_group_name_Hall 'F -4 2 3'
loop_
_atom_site_label
_atom_site_type_symbol
_atom_site_fract_x
_atom_site_fract_y
_atom_site_fract_z
K1 K 0.000 0.000 0.000
Cd1 Cd 0.250 0.250 0.750
Mo1 Mo 0.250 0.250 0.250

***

[2]
# Be2PtPb, PBEsol geometry, DFT meta-GGA SCAN
# Size of the total moment ... 0.00 μB/f.u.
data_Be2PtPb
_chemical_formula_sum 'Be4 Pt2 Pb2'
_cell_length_a 5.395
_cell_length_b 8.301
_cell_length_c 3.360
_cell_angle_alpha 90.00
_cell_angle_beta 121.48
_cell_angle_gamma 90.00
_space_group_name_H-M_alt 'C 1 2/m 1'
_space_group_IT_number 12
_space_group_name_Hall '-C 2y'
loop_
_atom_site_label
_atom_site_type_symbol
_atom_site_fract_x
_atom_site_fract_y
_atom_site_fract_z
Be1 Be 0.250 0.250 0.000
Pt1 Pt 0.000 0.000 0.000
Pb1 Pb 0.000 0.500 0.000

***

[3]
# DySiPt, PBEsol geometry, DFT meta-GGA SCAN
# Raw formation energy ... -1.3855 eV per atom
# Size of the total moment ... 0.00 μB/f.u.
data_DySiPt
_chemical_formula_sum 'Dy4 Si4 Pt4'
_cell_length_a 6.914
_cell_length_b 4.252
_cell_length_c 7.372
_cell_angle_alpha 90.00
_cell_angle_beta 90.00
_cell_angle_gamma 90.00
_space_group_name_H-M_alt 'P n m a'
_space_group_IT_number 62
_space_group_name_Hall '-P 2ac 2n'
loop_
_atom_site_label
_atom_site_type_symbol
_atom_site_fract_x
_atom_site_fract_y
_atom_site_fract_z
Dy1 Dy 0.004 0.250 0.199
Si1 Si 0.185 0.250 0.587
Pt1 Pt 0.199 0.750 0.414

***

[4]
# KSi2Ge2, PBEsol geometry, DFT meta-GGA SCAN
# Raw formation energy ... 0.1032 eV per atom
# Size of the total moment ... 0.00 μB/f.u.
data_KSi2Ge2
_chemical_formula_sum 'K2 Si4 Ge4'
_cell_length_a 4.049
_cell_length_b 4.049
_cell_length_c 14.512
_cell_angle_alpha 90.00
_cell_angle_beta 90.00
_cell_angle_gamma 90.00
_space_group_name_H-M_alt 'I 4/m m m'
_space_group_IT_number 139
_space_group_name_Hall '-I 4 2'
loop_
_atom_site_label
_atom_site_type_symbol
_atom_site_fract_x
_atom_site_fract_y
_atom_site_fract_z
K1 K 0.000 0.000 0.000
Si1 Si 0.000 0.500 0.250
Ge1 Ge 0.000 0.000 0.355

***

Let's list VASP energy in order: -22.857; -38.376; -44.054; -13.204 eV/atom.